A geometry-optimized CrI3O structure. Source: the Alexandria database, functional PBE+U.

Values from the calculation:
The calculation puts the density of states at the Fermi level at 1.938 states/eV per atom. For the distance to the lowest polymorph of the same formula, the calculation gives 0.000 eV per atom. The size of the total moment is 0.205 μB/atom.

Cell and atoms, written as POSCAR:
```
CrI3O
1.0
5.580 0.000 0.000
0.000 5.580 0.000
0.000 0.000 5.580
Cr I O
1 3 1
direct
0.000 0.000 0.000
0.000 0.000 0.500
0.000 0.500 0.000
0.500 0.000 0.000
0.500 0.500 0.500
```